Material: Na2Ca6Mg7FeSi16O48
Method: DFT, GGA+U
State: relaxed

Summary:
The total energy comes out at -580.1 eV per cell.

a = 13.3258 Å, b = 13.3258 Å, c = 5.3310 Å
α = 100.95°, β = 100.95°, γ = 85.28°
Fractional coordinates of all 80 atoms:
1 Na 0.0000 0.0000 0.0000
2 Na 0.7031 0.2969 0.5000
3 Ca 0.1989 0.8011 0.5000
4 Ca 0.2012 0.3001 0.0023
5 Ca 0.4995 0.0010 0.4989
6 Ca 0.4995 0.5005 0.0000
7 Ca 0.6999 0.7988 0.9977
8 Ca 0.9990 0.5005 0.5011
9 Mg 0.3032 0.6968 0.0000
10 Mg 0.3038 0.1959 0.5002
11 Mg 0.3950 0.6050 0.5000
12 Mg 0.3964 0.1049 0.0014
13 Mg 0.8040 0.1960 0.0000
14 Mg 0.8041 0.6962 0.4998
15 Mg 0.8951 0.6036 0.9986
16 Fe 0.8999 0.1001 0.5000
17 Si 0.0386 0.7483 0.8043
18 Si 0.0404 0.2464 0.3074
19 Si 0.1600 0.0529 0.6971
20 Si 0.1598 0.5538 0.1964
21 Si 0.2517 0.9614 0.1957
22 Si 0.2531 0.4609 0.6965
23 Si 0.4462 0.8402 0.8036
24 Si 0.4474 0.3401 0.3054
25 Si 0.5384 0.2489 0.8036
26 Si 0.5391 0.7469 0.3035
27 Si 0.6599 0.5526 0.6946
28 Si 0.6627 0.0523 0.1961
29 Si 0.7511 0.4616 0.1964
30 Si 0.7536 0.9596 0.6926
31 Si 0.9471 0.8400 0.3029
32 Si 0.9477 0.3373 0.8039
33 O 0.0175 0.3319 0.1005
34 O 0.0188 0.8301 0.5911
35 O 0.0313 0.8177 0.0974
36 O 0.0350 0.3180 0.6016
37 O 0.0426 0.0951 0.6972
38 O 0.0429 0.5922 0.2054
39 O 0.1554 0.7074 0.7964
40 O 0.1563 0.2063 0.2928
41 O 0.1674 0.4830 0.9029
42 O 0.1699 0.9812 0.4089
43 O 0.1821 0.4681 0.4028
44 O 0.1823 0.9687 0.9026
45 O 0.2470 0.1374 0.7789
46 O 0.2474 0.6371 0.2784
47 O 0.2927 0.3444 0.7065
48 O 0.2926 0.8446 0.2036
49 O 0.3362 0.0486 0.2773
50 O 0.3357 0.5491 0.7782
51 O 0.3629 0.7526 0.7216
52 O 0.3642 0.2518 0.2235
53 O 0.4054 0.4567 0.2967
54 O 0.4078 0.9571 0.7946
55 O 0.4509 0.6643 0.2218
56 O 0.4519 0.1638 0.7220
57 O 0.5165 0.3332 0.5983
58 O 0.5170 0.8326 0.0971
59 O 0.5282 0.3213 0.0908
60 O 0.5319 0.8179 0.5972
61 O 0.5433 0.5946 0.7033
62 O 0.5467 0.0943 0.2084
63 O 0.6555 0.2062 0.8094
64 O 0.6556 0.7073 0.2935
65 O 0.6668 0.4835 0.4017
66 O 0.6681 0.9825 0.8995
67 O 0.6787 0.4718 0.9092
68 O 0.6819 0.9650 0.3984
69 O 0.7482 0.6358 0.7765
70 O 0.7559 0.1297 0.2790
71 O 0.7938 0.3445 0.1906
72 O 0.7937 0.8437 0.7072
73 O 0.8340 0.0504 0.7670
74 O 0.8362 0.5481 0.2780
75 O 0.8626 0.7530 0.2211
76 O 0.8703 0.2441 0.7210
77 O 0.9049 0.9574 0.3028
78 O 0.9057 0.4533 0.7916
79 O 0.9496 0.1660 0.2330
80 O 0.9514 0.6638 0.7227